Ce3ErS6: optimized geometry, PBE.

Computed properties:
The uncorrected formation energy is -1.960 eV per atom. As for the symmetry: P2_1/c, No. 14. As for the size of the total moment: 3.00 μB/f.u.

```
data_Ce3ErS6
_space_group_name_H-M_alt 'P 1'
_space_group_IT_number 1
_space_group_name_Hall 'P 1'
_cell_length_a 6.791
_cell_length_b 7.412
_cell_length_c 12.098
_cell_angle_alpha 90.00
_cell_angle_beta 123.53
_cell_angle_gamma 90.00
loop_
_atom_site_label
_atom_site_fract_x
_atom_site_fract_y
_atom_site_fract_z
_atom_site_occupancy
Ce1 0.000 0.000 0.000 1
Ce2 0.000 0.500 0.500 1
Ce3 0.289 0.094 0.751 1
Ce4 0.289 0.406 0.251 1
Ce5 0.711 0.594 0.749 1
Ce6 0.711 0.906 0.249 1
Er1 0.500 0.000 0.500 1
Er2 0.500 0.500 0.000 1
S1 0.102 0.063 0.256 1
S2 0.102 0.437 0.756 1
S3 0.260 0.683 0.077 1
S4 0.260 0.817 0.577 1
S5 0.404 0.190 0.078 1
S6 0.404 0.310 0.578 1
S7 0.596 0.690 0.422 1
S8 0.596 0.810 0.922 1
S9 0.740 0.183 0.423 1
S10 0.740 0.317 0.923 1
S11 0.898 0.563 0.244 1
S12 0.898 0.937 0.744 1
```